No. 1
This record from Alexandria describes a relaxed Ce3Pu3Ir2 crystal. The functional is PBE.

Values from the calculation:
The calculation puts the density of states at the Fermi level at 2.61 states/eV per atom. The energy of formation comes out at -0.292 eV/atom. As for the crystal system: orthorhombic. The calculation puts the calculated total energy at -10.107 eV/atom.

```
data_Ce3Pu3Ir2
_chemical_formula_sum 'Ce12 Pu12 Ir8'
_cell_length_a 7.6129
_cell_length_b 17.1246
_cell_length_c 6.0479
_cell_angle_alpha 90.00
_cell_angle_beta 90.00
_cell_angle_gamma 90.00
_space_group_name_H-M_alt 'P 1'
_space_group_IT_number 1
loop_
_space_group_symop_operation_xyz
'x,y,z'
loop_
_atom_site_label
_atom_site_type_symbol
_atom_site_fract_x
_atom_site_fract_y
_atom_site_fract_z
Ce1 Ce 0.0391 0.1262 0.1153
Ce2 Ce 0.0391 0.3738 0.1153
Ce3 Ce 0.1748 0.2500 0.6076
Ce4 Ce 0.3252 0.7500 0.1076
Ce5 Ce 0.4609 0.6262 0.6153
Ce6 Ce 0.4609 0.8738 0.6153
Ce7 Ce 0.5391 0.1262 0.3847
Ce8 Ce 0.5391 0.3738 0.3847
Ce9 Ce 0.6748 0.2500 0.8924
Ce10 Ce 0.8252 0.7500 0.3924
Ce11 Ce 0.9609 0.6262 0.8847
Ce12 Ce 0.9609 0.8738 0.8847
Pu1 Pu 0.1777 0.0295 0.6361
Pu2 Pu 0.1777 0.4705 0.6361
Pu3 Pu 0.2274 0.7500 0.6549
Pu4 Pu 0.2726 0.2500 0.1549
Pu5 Pu 0.3223 0.5295 0.1361
Pu6 Pu 0.3223 0.9705 0.1361
Pu7 Pu 0.6777 0.0295 0.8639
Pu8 Pu 0.6777 0.4705 0.8639
Pu9 Pu 0.7274 0.7500 0.8451
Pu10 Pu 0.7726 0.2500 0.3451
Pu11 Pu 0.8223 0.5295 0.3639
Pu12 Pu 0.8223 0.9705 0.3639
Ir1 Ir 0.1071 0.6299 0.3720
Ir2 Ir 0.1071 0.8701 0.3720
Ir3 Ir 0.3929 0.1299 0.8720
Ir4 Ir 0.3929 0.3701 0.8720
Ir5 Ir 0.6071 0.6299 0.1280
Ir6 Ir 0.6071 0.8701 0.1280
Ir7 Ir 0.8929 0.1299 0.6280
Ir8 Ir 0.8929 0.3701 0.6280
```

---

No. 2
This record from Alexandria describes a relaxed Ce2PuIr crystal. The functional is PBE.

Values from the calculation:
The calculation puts the density of states at the Fermi level at 3.54 states/eV per atom. The energy of formation comes out at -0.009 eV/atom. As for the crystal system: trigonal. As for the distance to the lowest polymorph of the same formula: 1.24 eV per formula unit. The calculation puts the calculated total energy at -8.774 eV/atom.

```
data_Ce2PuIr
_chemical_formula_sum 'Ce2 Pu1 Ir1'
_cell_length_a 9.7989
_cell_length_b 9.7989
_cell_length_c 9.7989
_cell_angle_alpha 22.07
_cell_angle_beta 22.07
_cell_angle_gamma 22.07
_space_group_name_H-M_alt 'P 1'
_space_group_IT_number 1
loop_
_space_group_symop_operation_xyz
'x,y,z'
loop_
_atom_site_label
_atom_site_type_symbol
_atom_site_fract_x
_atom_site_fract_y
_atom_site_fract_z
Ce1 Ce 0.1053 0.1053 0.1053
Ce2 Ce 0.8947 0.8947 0.8947
Pu1 Pu 0.0000 0.0000 0.0000
Ir1 Ir 0.5000 0.5000 0.5000
```